No. 1
Density functional theory data (PBE) for crystalline Co2MoSe at its relaxed geometry.

Summary:
Energy relative to the elements, uncorrected, eV per atom: 0.304
Energy above the lowest structure with this stoichiometry, eV/atom: 0.143
Density, g cm⁻³: 8.93

```
data_Co2MoSe
_cell_length_a 8.562
_cell_length_b 2.917
_cell_length_c 4.371
_cell_angle_alpha 90.00
_cell_angle_beta 94.26
_cell_angle_gamma 90.00
_space_group_name_H-M_alt 'C 1 2/m 1'
_space_group_IT_number 12
loop_
_space_group_symop_operation_xyz
'x,y,z'
'-x,-y,-z'
'-x,y,-z'
'x,-y,z'
'x+1/2,y+1/2,z'
'-x+1/2,-y+1/2,-z'
'-x+1/2,y+1/2,-z'
'x+1/2,-y+1/2,z'
loop_
_atom_site_label
_atom_site_fract_x
_atom_site_fract_y
_atom_site_fract_z
Co1 0.236 0.000 0.232
Mo1 0.000 0.500 0.000
Se1 0.000 0.000 0.500
```

***

No. 2
Density functional theory data (PBE) for crystalline CoMo2Se at its relaxed geometry.

Summary:
Energy relative to the elements, uncorrected, eV per atom: 0.370
Energy above the lowest structure with this stoichiometry, eV/atom: 0.232
Density, g cm⁻³: 9.35

```
data_CoMo2Se
_cell_length_a 3.727
_cell_length_b 3.727
_cell_length_c 8.430
_cell_angle_alpha 90.00
_cell_angle_beta 90.00
_cell_angle_gamma 90.00
_space_group_name_H-M_alt 'I 4/m m m'
_space_group_IT_number 139
_space_group_name_Hall '-I 4 2'
loop_
_atom_site_label
_atom_site_fract_x
_atom_site_fract_y
_atom_site_fract_z
Co1 0.000 0.000 0.000
Mo1 0.000 0.500 0.250
Se1 0.000 0.000 0.500
```

***

No. 3
Density functional theory data (PBE) for crystalline CoMo2Se at its relaxed geometry.

Summary:
Energy relative to the elements, uncorrected, eV per atom: 0.243
Energy above the lowest structure with this stoichiometry, eV/atom: 0.104
Density, g cm⁻³: 9.64

```
data_CoMo2Se
_cell_length_a 6.102
_cell_length_b 6.102
_cell_length_c 6.102
_cell_angle_alpha 90.00
_cell_angle_beta 90.00
_cell_angle_gamma 90.00
_space_group_name_H-M_alt 'F m -3 m'
_space_group_IT_number 225
_space_group_name_Hall '-F 4 2 3'
loop_
_atom_site_label
_atom_site_fract_x
_atom_site_fract_y
_atom_site_fract_z
Co1 0.000 0.000 0.000
Mo1 0.250 0.250 0.250
Se1 0.000 0.000 0.500
```

***

No. 4
Density functional theory data (PBE) for crystalline CoMo2Se at its relaxed geometry.

Summary:
Energy relative to the elements, uncorrected, eV per atom: 0.147
Energy above the lowest structure with this stoichiometry, eV/atom: 0.008
Density, g cm⁻³: 9.49

```
data_CoMo2Se
_cell_length_a 2.960
_cell_length_b 2.960
_cell_length_c 6.585
_cell_angle_alpha 90.00
_cell_angle_beta 90.00
_cell_angle_gamma 90.00
_space_group_name_H-M_alt 'P 4/m m m'
_space_group_IT_number 123
_space_group_name_Hall '-P 4 2'
loop_
_atom_site_label
_atom_site_fract_x
_atom_site_fract_y
_atom_site_fract_z
Co1 0.000 0.000 0.000
Mo1 0.500 0.500 0.246
Se1 0.000 0.000 0.500
```

***

No. 5
Density functional theory data (PBE) for crystalline Co3MoSe at its relaxed geometry.

Summary:
Energy relative to the elements, uncorrected, eV per atom: 0.983
Energy above the lowest structure with this stoichiometry, eV/atom: 0.000
Density, g cm⁻³: 7.50

```
data_Co3MoSe
_cell_length_a 4.270
_cell_length_b 4.270
_cell_length_c 4.270
_cell_angle_alpha 90.00
_cell_angle_beta 90.00
_cell_angle_gamma 90.00
_space_group_name_H-M_alt 'P m -3 m'
_space_group_IT_number 221
_space_group_name_Hall '-P 4 2 3'
loop_
_atom_site_label
_atom_site_fract_x
_atom_site_fract_y
_atom_site_fract_z
Co1 0.000 0.000 0.500
Mo1 0.500 0.500 0.500
Se1 0.000 0.000 0.000
```

***

No. 6
Density functional theory data (PBE) for crystalline CoMo2Se2 at its relaxed geometry.

Summary:
Energy relative to the elements, uncorrected, eV per atom: 0.565
Energy above the lowest structure with this stoichiometry, eV/atom: 0.153
Density, g cm⁻³: 7.51

```
data_CoMo2Se2
_cell_length_a 4.418
_cell_length_b 4.418
_cell_length_c 9.264
_cell_angle_alpha 90.00
_cell_angle_beta 90.00
_cell_angle_gamma 90.00
_space_group_name_H-M_alt 'I 4/m m m'
_space_group_IT_number 139
_space_group_name_Hall '-I 4 2'
loop_
_atom_site_label
_atom_site_fract_x
_atom_site_fract_y
_atom_site_fract_z
Co1 0.000 0.000 0.000
Mo1 0.000 0.500 0.250
Se1 0.000 0.000 0.366
```

***

No. 7
Density functional theory data (PBE) for crystalline CoMo2Se at its relaxed geometry.

Summary:
Energy relative to the elements, uncorrected, eV per atom: 0.759
Energy above the lowest structure with this stoichiometry, eV/atom: 0.621
Density, g cm⁻³: 6.76

```
data_CoMo2Se
_cell_length_a 5.467
_cell_length_b 5.467
_cell_length_c 10.841
_cell_angle_alpha 90.00
_cell_angle_beta 90.00
_cell_angle_gamma 90.00
_space_group_name_H-M_alt 'I -4 2 d'
_space_group_IT_number 122
_space_group_name_Hall 'I -4 2bw'
loop_
_atom_site_label
_atom_site_fract_x
_atom_site_fract_y
_atom_site_fract_z
Co1 0.000 0.000 0.000
Mo1 0.215 0.250 0.125
Se1 0.000 0.000 0.500
```

***

No. 8
Density functional theory data (PBE) for crystalline CoMo2Se at its relaxed geometry.

Summary:
Energy relative to the elements, uncorrected, eV per atom: 0.397
Energy above the lowest structure with this stoichiometry, eV/atom: 0.259
Density, g cm⁻³: 9.32

```
data_CoMo2Se
_cell_length_a 5.160
_cell_length_b 7.759
_cell_length_c 2.936
_cell_angle_alpha 90.00
_cell_angle_beta 90.00
_cell_angle_gamma 90.00
_space_group_name_H-M_alt 'C m m m'
_space_group_IT_number 65
_space_group_name_Hall '-C 2 2'
loop_
_atom_site_label
_atom_site_fract_x
_atom_site_fract_y
_atom_site_fract_z
Co1 0.000 0.000 0.000
Mo1 0.250 0.250 0.500
Se1 0.000 0.500 0.000
```